1.
VASP calculation (PBE) on a relaxed structure of SrY4Tl5.

Output
Calculated formation energy ... -0.38 eV/atom
Size of the total moment ... 0.00 μB/cell
Space-group type ... P4/mmm (123)

```
SrY4Tl5
1.0
3.831 0.000 0.000
0.000 3.831 0.000
0.000 0.000 19.533
Sr Y Tl
1 4 5
direct
0.000 0.000 0.000
0.000 0.000 0.209
0.000 0.000 0.403
0.000 0.000 0.597
0.000 0.000 0.791
0.500 0.500 0.114
0.500 0.500 0.307
0.500 0.500 0.500
0.500 0.500 0.693
0.500 0.500 0.886
```


2.
VASP calculation (PBE) on a relaxed structure of SrY2Tl.

Output
Calculated formation energy ... -0.08 eV/atom
Size of the total moment ... 0.00 μB/cell
Space-group type ... Pmm2 (25)
Excess energy over the best structure of this formula in the dataset ... 69.5 meV/atom

```
SrY2Tl
1.0
3.721 0.000 0.000
0.000 4.891 0.000
0.000 0.000 7.283
Sr Y Tl
1 2 1
direct
0.000 0.000 0.000
0.000 0.000 0.477
0.500 0.500 0.697
0.500 0.500 0.256
```


3.
VASP calculation (PBE) on a relaxed structure of Sr5YTl6.

Output
Calculated formation energy ... -0.41 eV/atom
Size of the total moment ... 0.00 μB/cell
Space-group type ... Cmmm (65)

```
Sr5YTl6
1.0
2.861 -8.612 0.000
2.861 8.612 0.000
0.000 0.000 8.063
Sr Y Tl
5 1 6
direct
0.000 0.000 0.000
0.330 0.670 0.000
0.331 0.669 0.500
0.669 0.331 0.500
0.670 0.330 0.000
0.000 0.000 0.500
0.159 0.841 0.264
0.159 0.841 0.736
0.500 0.500 0.268
0.500 0.500 0.732
0.841 0.159 0.264
0.841 0.159 0.736
```


4.
VASP calculation (PBE) on a relaxed structure of Sr3YTl.

Output
Calculated formation energy ... 0.71 eV/atom
Size of the total moment ... 2.64 μB/cell
Space-group type ... Pm-3m (221)
Excess energy over the best structure of this formula in the dataset ... 443.6 meV/atom

```
Sr3YTl
1.0
6.530 0.000 0.000
0.000 6.530 0.000
0.000 0.000 6.530
Sr Y Tl
3 1 1
direct
0.000 0.000 0.500
0.000 0.500 0.000
0.500 0.000 0.000
0.000 0.000 0.000
0.500 0.500 0.500
```


5.
VASP calculation (PBE) on a relaxed structure of SrYTl4.

Output
Calculated formation energy ... -0.27 eV/atom
Size of the total moment ... 0.00 μB/cell
Space-group type ... P-1 (2)
Excess energy over the best structure of this formula in the dataset ... 0.0 meV/atom

```
SrYTl4
1.0
5.080 0.000 0.000
2.511 4.431 0.000
0.028 0.040 8.237
Sr Y Tl
1 1 4
direct
0.000 0.000 0.000
0.000 0.000 0.500
0.332 0.333 0.216
0.333 0.334 0.658
0.667 0.666 0.342
0.668 0.667 0.784
```


6.
VASP calculation (PBE) on a relaxed structure of SrYTl.

Output
Calculated formation energy ... -0.08 eV/atom
Size of the total moment ... 0.00 μB/cell
Space-group type ... F-43m (216)
Excess energy over the best structure of this formula in the dataset ... 230.3 meV/atom

```
SrYTl
1.0
7.691 0.000 0.000
0.000 7.691 0.000
0.000 0.000 7.691
Sr Y Tl
4 4 4
direct
0.000 0.000 0.000
0.000 0.500 0.500
0.500 0.000 0.500
0.500 0.500 0.000
0.000 0.000 0.500
0.000 0.500 0.000
0.500 0.000 0.000
0.500 0.500 0.500
0.250 0.250 0.750
0.250 0.750 0.250
0.750 0.250 0.250
0.750 0.750 0.750
```


7.
VASP calculation (PBE) on a relaxed structure of SrYTl.

Output
Calculated formation energy ... -0.13 eV/atom
Size of the total moment ... 0.00 μB/cell
Space-group type ... P3m1 (156)
Excess energy over the best structure of this formula in the dataset ... 172.3 meV/atom

```
SrYTl
1.0
5.451 0.000 0.000
-2.726 4.721 0.000
0.000 0.000 4.027
Sr Y Tl
1 1 1
direct
0.000 0.000 0.000
0.333 0.667 0.523
0.667 0.333 0.428
```


8.
VASP calculation (PBE) on a relaxed structure of Sr4YTl5.

Output
Calculated formation energy ... -0.41 eV/atom
Size of the total moment ... 0.00 μB/cell
Space-group type ... P4/mmm (123)

```
Sr4YTl5
1.0
4.013 0.000 0.000
0.000 4.013 0.000
0.000 0.000 20.372
Sr Y Tl
4 1 5
direct
0.000 0.000 0.103
0.000 0.000 0.307
0.000 0.000 0.693
0.000 0.000 0.897
0.000 0.000 0.500
0.500 0.500 0.000
0.500 0.500 0.204
0.500 0.500 0.413
0.500 0.500 0.587
0.500 0.500 0.796
```